1.
5
Lattice="5.4130 0.0000 0.0000 0.0000 5.4130 0.0000 0.0000 0.0000 5.4130" Properties=species:S:1:pos:R:3 comment="LaFeSi3 (PBE, optimized geometry)" rho_g_cm3=2.92 crystal_system=cubic volume_a3_per_atom=31.722 energy_ha_per_atom=-0.14952 e_form_raw_ev_per_fu=9.32 pbc="T T T"
La 0.0000 0.0000 0.0000
Fe 2.7065 2.7065 2.7065
Si 0.0000 0.0000 2.7065
Si 0.0000 2.7065 0.0000
Si 2.7065 0.0000 0.0000

=====

2.
5
Lattice="4.5207 0.0000 0.0000 0.0000 4.5207 0.0000 0.0000 0.0000 4.5207" Properties=species:S:1:pos:R:3 comment="LaFeSi3 (PBE, optimized geometry)" rho_g_cm3=5.01 crystal_system=cubic volume_a3_per_atom=18.478 energy_ha_per_atom=-0.22404 e_form_raw_ev_per_fu=-0.82 pbc="T T T"
La 0.0000 0.0000 0.0000
Fe 2.2604 2.2604 2.2604
Si 0.0000 2.2604 2.2604
Si 2.2604 0.0000 2.2604
Si 2.2604 2.2604 0.0000

=====

3.
5
Lattice="4.4548 0.0000 0.0000 0.0000 4.4548 0.0000 0.0000 0.0000 4.4548" Properties=species:S:1:pos:R:3 comment="LaFe3Si (PBE, optimized geometry)" rho_g_cm3=6.28 crystal_system=cubic volume_a3_per_atom=17.682 energy_ha_per_atom=-0.25446 e_above_lowest_polymorph_mev_per_atom=0 e_form_raw_ev_per_fu=1.12 pbc="T T T"
La 0.0000 0.0000 0.0000
Fe 0.0000 2.2274 2.2274
Fe 2.2274 0.0000 2.2274
Fe 2.2274 2.2274 0.0000
Si 2.2274 2.2274 2.2274

=====

4.
3
Lattice="-1.5391 1.5391 5.5969 1.5391 -1.5391 5.5969 1.5391 1.5391 -5.5969" Properties=species:S:1:pos:R:3 comment="LaFeSi (PBE, optimized geometry)" rho_g_cm3=6.98 crystal_system=tetragonal volume_a3_per_atom=17.677 energy_ha_per_atom=-0.23637 e_form_raw_ev_per_fu=-0.48 pbc="T T T"
La 0.0000 0.0000 0.0000
Fe 0.0000 0.0000 7.7891
Si 0.0000 0.0000 3.1685